(i)
{
  "formula": "GdY2Mn",
  "functional": "PBE-GGA",
  "state": "relaxed",
  "lattice": [[0.000, 3.812, 3.812], [3.812, 0.000, 3.812], [3.812, 3.812, 0.000]],
  "species": ["Gd", "Y", "Y", "Mn"],
  "frac_coords": [[0.000, 0.000, 0.000], [0.250, 0.250, 0.250], [0.750, 0.750, 0.750], [0.500, 0.500, 0.500]],
  "magnetic_moment_mub_per_fu": 10.906,
  "dos_ef_per_ev_fu": 8.11
}


(ii)
{
  "formula": "GdY2Mn",
  "functional": "PBE-GGA",
  "state": "relaxed",
  "lattice": [[3.564, 0.000, 0.000], [0.000, 3.564, 0.000], [0.000, 0.000, 8.684]],
  "species": ["Gd", "Y", "Y", "Mn"],
  "frac_coords": [[0.000, 0.000, 0.000], [0.500, 0.500, 0.301], [0.500, 0.500, 0.699], [0.000, 0.000, 0.500]],
  "magnetic_moment_mub_per_fu": 11.053,
  "dos_ef_per_ev_fu": 6.20
}


Most stable structure, least stable structure: (ii), (i).


(i)
{
  "formula": "GdTi2Mo",
  "functional": "PBE-GGA",
  "state": "relaxed",
  "lattice": [[3.276, 0.000, 0.000], [0.000, 3.276, 0.000], [0.000, 0.000, 7.438]],
  "species": ["Gd", "Ti", "Ti", "Mo"],
  "frac_coords": [[0.000, 0.000, 0.000], [0.500, 0.500, 0.310], [0.500, 0.500, 0.690], [0.000, 0.000, 0.500]],
  "magnetic_moment_mub_per_fu": 7.482,
  "dos_ef_per_ev_fu": 6.32
}


(ii)
{
  "formula": "GdTi2Mo",
  "functional": "PBE-GGA",
  "state": "relaxed",
  "lattice": [[1.547, 0.893, 9.906], [-1.547, 0.893, 9.906], [0.000, -1.786, 9.906]],
  "species": ["Gd", "Ti", "Ti", "Mo"],
  "frac_coords": [[0.000, 0.000, 0.000], [0.102, 0.102, 0.102], [0.898, 0.898, 0.898], [0.500, 0.500, 0.500]],
  "magnetic_moment_mub_per_fu": 7.442,
  "dos_ef_per_ev_fu": 6.82
}


Most stable structure, least stable structure: (i), (ii).